Compound: Si2RuPt
Source: Alexandria via LeMat-Bulk
Functional: GGA-PBE
Structure: optimized geometry

Lattice parameters (Å, degrees): 2.8788 5.1997 7.9017 90.00 90.00 90.00
Last column: nearest neighbours and their distance in Å.
Space group Cmmm (No. 65)
Unique sites:
Si: 0.0000 0.0000 0.2399 (multiplicity 4)  2 Ru 2.38, 2 Pt 2.51
Ru: 0.0000 0.5000 0.0000 (multiplicity 2)  4 Si 2.38
Pt: 0.0000 0.5000 0.5000 (multiplicity 2)  4 Si 2.51

Values from the calculation:
E_tot: -53.67 eV for the cell shown
energy relative to the elements, uncorrected: -0.7 eV/f.u.
M_tot: 0.00 μB/cell
DOS(E_F): 0.52 states/eV per atom